# 1
{
  "formula": "AcPm2YEr5",
  "functional": "GGA-PBE",
  "state": "relaxed",
  "crystal_system": "tetragonal",
  "delta_e_f_kj_per_mol_atoms": 25.03,
  "sg": "No. 140",
  "total_energy_ev_per_cell": -81.1,
  "cell": [[-4.428, 4.428, 7.699], [4.428, -4.428, 7.699], [4.428, 4.428, -7.699]],
  "species": ["Ac", "Ac", "Pm", "Pm", "Pm", "Pm", "Y", "Y", "Er", "Er", "Er", "Er", "Er", "Er", "Er", "Er", "Er", "Er"],
  "fractional_positions": [[0.250, 0.250, 0.000], [0.750, 0.750, 0.000], [0.116, 0.616, 0.731], [0.384, 0.116, 0.500], [0.616, 0.884, 0.500], [0.884, 0.384, 0.269], [0.250, 0.750, 0.500], [0.750, 0.250, 0.500], [0.000, 0.000, 0.000], [0.075, 0.162, 0.500], [0.162, 0.662, 0.086], [0.338, 0.425, 0.500], [0.425, 0.925, 0.086], [0.500, 0.500, 0.000], [0.575, 0.075, 0.914], [0.662, 0.575, 0.500], [0.838, 0.338, 0.914], [0.925, 0.838, 0.500]]
}

***

# 2
{
  "formula": "AcPm5Y2Er",
  "functional": "GGA-PBE",
  "state": "relaxed",
  "crystal_system": "orthorhombic",
  "delta_e_f_kj_per_mol_atoms": 7.94,
  "sg": "No. 36",
  "total_energy_ev_per_cell": -89.2,
  "cell": [[2.916, -8.771, 0.000], [2.916, 8.771, 0.000], [0.000, 0.000, 12.180]],
  "species": ["Ac", "Ac", "Pm", "Pm", "Pm", "Pm", "Pm", "Pm", "Pm", "Pm", "Pm", "Pm", "Y", "Y", "Y", "Y", "Er", "Er"],
  "fractional_positions": [[0.115, 0.885, 0.500], [0.885, 0.115, 0.000], [0.078, 0.922, 0.840], [0.080, 0.920, 0.164], [0.267, 0.733, 0.295], [0.267, 0.733, 0.706], [0.438, 0.562, 0.148], [0.562, 0.438, 0.648], [0.733, 0.267, 0.206], [0.733, 0.267, 0.795], [0.920, 0.080, 0.664], [0.922, 0.078, 0.340], [0.386, 0.614, 0.501], [0.438, 0.562, 0.852], [0.562, 0.438, 0.352], [0.614, 0.386, 0.001], [0.248, 0.752, 0.000], [0.752, 0.248, 0.500]]
}

***

# 3
{
  "formula": "AcPm6Y2Er3",
  "functional": "GGA-PBE",
  "state": "relaxed",
  "crystal_system": "monoclinic",
  "delta_e_f_kj_per_mol_atoms": 2.73,
  "sg": "No. 12",
  "total_energy_ev_per_cell": -58.9,
  "cell": [[3.147, -5.451, 0.000], [3.147, 5.451, 0.000], [-2.099, 0.000, 11.823]],
  "species": ["Ac", "Pm", "Pm", "Pm", "Pm", "Pm", "Pm", "Y", "Y", "Er", "Er", "Er"],
  "fractional_positions": [[0.000, 0.000, 0.000], [0.086, 0.422, 0.256], [0.250, 0.250, 0.743], [0.422, 0.086, 0.256], [0.578, 0.914, 0.744], [0.750, 0.750, 0.257], [0.914, 0.578, 0.744], [0.333, 0.667, 0.000], [0.667, 0.333, 0.000], [0.167, 0.833, 0.500], [0.500, 0.500, 0.500], [0.833, 0.167, 0.500]]
}

***

# 4
{
  "formula": "Ac2PmYEr",
  "functional": "GGA-PBE",
  "state": "relaxed",
  "crystal_system": "orthorhombic",
  "delta_e_f_kj_per_mol_atoms": 25.54,
  "sg": "No. 51",
  "total_energy_ev_per_cell": -45.3,
  "cell": [[6.444, 0.000, 0.000], [0.000, 8.935, 0.000], [0.000, 0.000, 6.729]],
  "species": ["Ac", "Ac", "Ac", "Ac", "Pm", "Pm", "Y", "Y", "Er", "Er"],
  "fractional_positions": [[0.250, 0.204, 0.211], [0.250, 0.796, 0.211], [0.750, 0.204, 0.789], [0.750, 0.796, 0.789], [0.250, 0.500, 0.917], [0.750, 0.500, 0.083], [0.250, 0.000, 0.684], [0.750, 0.000, 0.316], [0.000, 0.500, 0.500], [0.500, 0.500, 0.500]]
}

***

# 5
{
  "formula": "AcPmY2Er",
  "functional": "GGA-PBE",
  "state": "relaxed",
  "crystal_system": "monoclinic",
  "delta_e_f_kj_per_mol_atoms": 3.78,
  "sg": "No. 11",
  "total_energy_ev_per_cell": -52.3,
  "cell": [[6.409, 0.000, 0.000], [0.000, 5.862, 0.000], [-3.182, 0.000, 9.311]],
  "species": ["Ac", "Ac", "Pm", "Pm", "Y", "Y", "Y", "Y", "Er", "Er"],
  "fractional_positions": [[0.140, 0.250, 0.107], [0.860, 0.750, 0.893], [0.481, 0.750, 0.108], [0.519, 0.250, 0.892], [0.258, 0.750, 0.692], [0.335, 0.250, 0.503], [0.665, 0.750, 0.497], [0.742, 0.250, 0.308], [0.072, 0.750, 0.311], [0.928, 0.250, 0.689]]
}

***

# 6
{
  "formula": "AcPm6Y2Er",
  "functional": "GGA-PBE",
  "state": "relaxed",
  "crystal_system": "monoclinic",
  "delta_e_f_kj_per_mol_atoms": 11.87,
  "sg": "No. 15",
  "total_energy_ev_per_cell": -97.7,
  "cell": [[4.758, -7.664, 0.000], [4.758, 7.664, 0.000], [-0.803, 0.000, 9.616]],
  "species": ["Ac", "Ac", "Pm", "Pm", "Pm", "Pm", "Pm", "Pm", "Pm", "Pm", "Pm", "Pm", "Pm", "Pm", "Y", "Y", "Y", "Y", "Er", "Er"],
  "fractional_positions": [[0.034, 0.966, 0.750], [0.966, 0.034, 0.250], [0.003, 0.550, 0.683], [0.120, 0.757, 0.057], [0.243, 0.880, 0.443], [0.291, 0.520, 0.884], [0.450, 0.997, 0.817], [0.480, 0.709, 0.616], [0.520, 0.291, 0.384], [0.550, 0.003, 0.183], [0.709, 0.480, 0.116], [0.757, 0.120, 0.557], [0.880, 0.243, 0.943], [0.997, 0.450, 0.317], [0.209, 0.311, 0.551], [0.311, 0.209, 0.051], [0.689, 0.791, 0.949], [0.791, 0.689, 0.449], [0.413, 0.587, 0.250], [0.587, 0.413, 0.750]]
}

***

# 7
{
  "formula": "AcPm3Y6Er2",
  "functional": "GGA-PBE",
  "state": "relaxed",
  "crystal_system": "monoclinic",
  "delta_e_f_kj_per_mol_atoms": 2.43,
  "sg": "No. 12",
  "total_energy_ev_per_cell": -66.0,
  "cell": [[3.131, -5.421, 0.000], [3.131, 5.421, 0.000], [-2.079, 0.000, 11.768]],
  "species": ["Ac", "Pm", "Pm", "Pm", "Y", "Y", "Y", "Y", "Y", "Y", "Er", "Er"],
  "fractional_positions": [[0.000, 0.000, 0.000], [0.167, 0.833, 0.500], [0.500, 0.500, 0.500], [0.833, 0.167, 0.500], [0.084, 0.420, 0.251], [0.252, 0.252, 0.749], [0.420, 0.084, 0.251], [0.580, 0.916, 0.749], [0.748, 0.748, 0.251], [0.916, 0.580, 0.749], [0.333, 0.667, 0.000], [0.667, 0.333, 0.000]]
}

***

# 8
{
  "formula": "AcPm2Y5Er",
  "functional": "GGA-PBE",
  "state": "relaxed",
  "crystal_system": "tetragonal",
  "delta_e_f_kj_per_mol_atoms": 23.93,
  "sg": "No. 140",
  "total_energy_ev_per_cell": -96.5,
  "cell": [[-4.444, 4.444, 7.787], [4.444, -4.444, 7.787], [4.444, 4.444, -7.787]],
  "species": ["Ac", "Ac", "Pm", "Pm", "Pm", "Pm", "Y", "Y", "Y", "Y", "Y", "Y", "Y", "Y", "Y", "Y", "Er", "Er"],
  "fractional_positions": [[0.250, 0.250, 0.000], [0.750, 0.750, 0.000], [0.116, 0.616, 0.732], [0.384, 0.116, 0.500], [0.616, 0.884, 0.500], [0.884, 0.384, 0.268], [0.000, 0.000, 0.000], [0.074, 0.162, 0.500], [0.162, 0.662, 0.088], [0.338, 0.426, 0.500], [0.426, 0.926, 0.088], [0.500, 0.500, 0.000], [0.574, 0.074, 0.912], [0.662, 0.574, 0.500], [0.838, 0.338, 0.912], [0.926, 0.838, 0.500], [0.250, 0.750, 0.500], [0.750, 0.250, 0.500]]
}

***

# 9
{
  "formula": "AcPm2Y6Er3",
  "functional": "GGA-PBE",
  "state": "relaxed",
  "crystal_system": "monoclinic",
  "delta_e_f_kj_per_mol_atoms": 3.11,
  "sg": "No. 12",
  "total_energy_ev_per_cell": -65.7,
  "cell": [[3.128, -5.415, 0.000], [3.128, 5.415, 0.000], [-2.082, 0.000, 11.711]],
  "species": ["Ac", "Pm", "Pm", "Y", "Y", "Y", "Y", "Y", "Y", "Er", "Er", "Er"],
  "fractional_positions": [[0.000, 0.000, 0.000], [0.333, 0.667, 0.000], [0.667, 0.333, 0.000], [0.086, 0.422, 0.256], [0.249, 0.249, 0.743], [0.422, 0.086, 0.256], [0.578, 0.914, 0.744], [0.751, 0.751, 0.257], [0.914, 0.578, 0.744], [0.167, 0.833, 0.500], [0.500, 0.500, 0.500], [0.833, 0.167, 0.500]]
}

***

# 10
{
  "formula": "AcPm6Y3Er2",
  "functional": "GGA-PBE",
  "state": "relaxed",
  "crystal_system": "monoclinic",
  "delta_e_f_kj_per_mol_atoms": 2.61,
  "sg": "No. 12",
  "total_energy_ev_per_cell": -60.8,
  "cell": [[3.151, -5.458, 0.000], [3.151, 5.458, 0.000], [-2.102, 0.000, 11.844]],
  "species": ["Ac", "Pm", "Pm", "Pm", "Pm", "Pm", "Pm", "Y", "Y", "Y", "Er", "Er"],
  "fractional_positions": [[0.000, 0.000, 0.000], [0.085, 0.421, 0.253], [0.252, 0.252, 0.747], [0.421, 0.085, 0.253], [0.579, 0.915, 0.747], [0.748, 0.748, 0.253], [0.915, 0.579, 0.747], [0.167, 0.833, 0.500], [0.500, 0.500, 0.500], [0.833, 0.167, 0.500], [0.333, 0.667, 0.000], [0.667, 0.333, 0.000]]
}

***

# 11
{
  "formula": "AcPmY3Er",
  "functional": "GGA-PBE",
  "state": "relaxed",
  "crystal_system": "monoclinic",
  "delta_e_f_kj_per_mol_atoms": 21.93,
  "sg": "No. 12",
  "total_energy_ev_per_cell": -62.9,
  "cell": [[10.095, -2.857, 0.000], [10.095, 2.857, 0.000], [-0.013, 0.000, 7.332]],
  "species": ["Ac", "Ac", "Pm", "Pm", "Y", "Y", "Y", "Y", "Y", "Y", "Er", "Er"],
  "fractional_positions": [[0.144, 0.144, 0.028], [0.856, 0.856, 0.972], [0.445, 0.445, 0.709], [0.555, 0.555, 0.291], [0.022, 0.022, 0.723], [0.280, 0.280, 0.747], [0.336, 0.336, 0.278], [0.664, 0.664, 0.722], [0.720, 0.720, 0.253], [0.978, 0.978, 0.277], [0.151, 0.151, 0.465], [0.849, 0.849, 0.535]]
}

***

# 12
{
  "formula": "AcPm3YEr",
  "functional": "GGA-PBE",
  "state": "relaxed",
  "crystal_system": "monoclinic",
  "delta_e_f_kj_per_mol_atoms": 3.95,
  "sg": "No. 11",
  "total_energy_ev_per_cell": -58.3,
  "cell": [[8.195, 0.000, 0.000], [0.000, 5.211, 0.000], [-3.320, 0.000, 9.853]],
  "species": ["Ac", "Ac", "Pm", "Pm", "Pm", "Pm", "Pm", "Pm", "Y", "Y", "Er", "Er"],
  "fractional_positions": [[0.170, 0.250, 0.293], [0.830, 0.750, 0.707], [0.172, 0.250, 0.792], [0.172, 0.750, 0.040], [0.172, 0.750, 0.546], [0.828, 0.250, 0.454], [0.828, 0.250, 0.960], [0.828, 0.750, 0.208], [0.496, 0.750, 0.876], [0.504, 0.250, 0.124], [0.497, 0.250, 0.628], [0.503, 0.750, 0.372]]
}

***

# 13
{
  "formula": "AcPmYEr2",
  "functional": "GGA-PBE",
  "state": "relaxed",
  "crystal_system": "orthorhombic",
  "delta_e_f_kj_per_mol_atoms": 36.55,
  "sg": "No. 63",
  "total_energy_ev_per_cell": -45.1,
  "cell": [[3.235, -8.773, 0.000], [3.235, 8.773, 0.000], [0.000, 0.000, 6.468]],
  "species": ["Ac", "Ac", "Pm", "Pm", "Y", "Y", "Er", "Er", "Er", "Er"],
  "fractional_positions": [[0.159, 0.841, 0.750], [0.841, 0.159, 0.250], [0.348, 0.652, 0.750], [0.652, 0.348, 0.250], [0.249, 0.751, 0.250], [0.751, 0.249, 0.750], [0.252, 0.252, 0.000], [0.252, 0.252, 0.500], [0.748, 0.748, 0.000], [0.748, 0.748, 0.500]]
}

***

# 14
{
  "formula": "AcPr2Er",
  "functional": "GGA-PBE",
  "state": "relaxed",
  "crystal_system": "trigonal",
  "delta_e_f_kj_per_mol_atoms": 4.47,
  "sg": "No. 160",
  "total_energy_ev_per_cell": -18.0,
  "cell": [[1.874, 1.082, 12.137], [-1.874, 1.082, 12.137], [0.000, -2.164, 12.137]],
  "species": ["Ac", "Pr", "Pr", "Er"],
  "fractional_positions": [[0.000, 0.000, 0.000], [0.579, 0.579, 0.579], [0.755, 0.755, 0.755], [0.167, 0.167, 0.167]]
}

***

# 15
{
  "formula": "Ac3Pr3Er",
  "functional": "GGA-PBE",
  "state": "relaxed",
  "crystal_system": "monoclinic",
  "delta_e_f_kj_per_mol_atoms": 9.54,
  "sg": "No. 14",
  "total_energy_ev_per_cell": -122.1,
  "cell": [[6.064, 0.000, 0.000], [0.000, 10.897, 0.000], [-6.050, 0.000, 16.791]],
  "species": ["Ac", "Ac", "Ac", "Ac", "Ac", "Ac", "Ac", "Ac", "Ac", "Ac", "Ac", "Ac", "Pr", "Pr", "Pr", "Pr", "Pr", "Pr", "Pr", "Pr", "Pr", "Pr", "Pr", "Pr", "Er", "Er", "Er", "Er"],
  "fractional_positions": [[0.138, 0.193, 0.387], [0.138, 0.307, 0.887], [0.159, 0.562, 0.408], [0.159, 0.938, 0.908], [0.357, 0.221, 0.608], [0.357, 0.279, 0.108], [0.643, 0.721, 0.892], [0.643, 0.779, 0.392], [0.841, 0.062, 0.092], [0.841, 0.438, 0.592], [0.862, 0.693, 0.113], [0.862, 0.807, 0.613], [0.252, 0.596, 0.002], [0.252, 0.904, 0.502], [0.396, 0.626, 0.646], [0.396, 0.874, 0.146], [0.469, 0.585, 0.220], [0.469, 0.915, 0.720], [0.531, 0.085, 0.280], [0.531, 0.415, 0.780], [0.604, 0.126, 0.854], [0.604, 0.374, 0.354], [0.748, 0.096, 0.498], [0.748, 0.404, 0.998], [0.034, 0.624, 0.784], [0.034, 0.876, 0.284], [0.966, 0.124, 0.716], [0.966, 0.376, 0.216]]
}

***

# 16
{
  "formula": "AcPr2Er7",
  "functional": "GGA-PBE",
  "state": "relaxed",
  "crystal_system": "triclinic",
  "delta_e_f_kj_per_mol_atoms": 3.54,
  "sg": "No. 2",
  "total_energy_ev_per_cell": -45.2,
  "cell": [[6.217, 0.000, 0.000], [2.068, 6.890, 0.000], [2.049, 1.209, 7.659]],
  "species": ["Ac", "Pr", "Pr", "Er", "Er", "Er", "Er", "Er", "Er", "Er"],
  "fractional_positions": [[0.000, 0.000, 0.000], [0.202, 0.302, 0.597], [0.798, 0.698, 0.403], [0.000, 0.500, 0.000], [0.201, 0.798, 0.598], [0.399, 0.102, 0.201], [0.404, 0.597, 0.199], [0.596, 0.403, 0.801], [0.601, 0.898, 0.799], [0.799, 0.202, 0.402]]
}

***

# 17
{
  "formula": "Ac2PrEr2",
  "functional": "GGA-PBE",
  "state": "relaxed",
  "crystal_system": "monoclinic",
  "delta_e_f_kj_per_mol_atoms": 5.42,
  "sg": "No. 11",
  "total_energy_ev_per_cell": -43.7,
  "cell": [[6.575, 0.000, 0.000], [0.000, 6.007, 0.000], [-3.182, 0.000, 9.444]],
  "species": ["Ac", "Ac", "Ac", "Ac", "Pr", "Pr", "Er", "Er", "Er", "Er"],
  "fractional_positions": [[0.064, 0.250, 0.315], [0.143, 0.750, 0.103], [0.857, 0.250, 0.897], [0.936, 0.750, 0.685], [0.280, 0.250, 0.704], [0.720, 0.750, 0.296], [0.354, 0.750, 0.507], [0.469, 0.250, 0.100], [0.531, 0.750, 0.900], [0.646, 0.250, 0.493]]
}

***

# 18
{
  "formula": "Ac4Pr11Er9",
  "functional": "GGA-PBE",
  "state": "relaxed",
  "crystal_system": "orthorhombic",
  "delta_e_f_kj_per_mol_atoms": 7.40,
  "sg": "No. 65",
  "total_energy_ev_per_cell": -108.2,
  "cell": [[10.543, -11.000, 0.000], [10.543, 11.000, 0.000], [0.000, 0.000, 3.668]],
  "species": ["Ac", "Ac", "Ac", "Ac", "Pr", "Pr", "Pr", "Pr", "Pr", "Pr", "Pr", "Pr", "Pr", "Pr", "Pr", "Er", "Er", "Er", "Er", "Er", "Er", "Er", "Er", "Er"],
  "fractional_positions": [[0.050, 0.222, 0.000], [0.222, 0.050, 0.000], [0.778, 0.950, 0.000], [0.950, 0.778, 0.000], [0.089, 0.427, 0.500], [0.162, 0.838, 0.500], [0.266, 0.266, 0.500], [0.331, 0.669, 0.500], [0.427, 0.089, 0.500], [0.500, 0.500, 0.500], [0.573, 0.911, 0.500], [0.669, 0.331, 0.500], [0.734, 0.734, 0.500], [0.838, 0.162, 0.500], [0.911, 0.573, 0.500], [0.000, 0.000, 0.000], [0.127, 0.628, 0.000], [0.295, 0.468, 0.000], [0.372, 0.873, 0.000], [0.468, 0.295, 0.000], [0.532, 0.705, 0.000], [0.628, 0.127, 0.000], [0.705, 0.532, 0.000], [0.873, 0.372, 0.000]]
}

***

# 19
{
  "formula": "Ac2Pr2Er3",
  "functional": "GGA-PBE",
  "state": "relaxed",
  "crystal_system": "monoclinic",
  "delta_e_f_kj_per_mol_atoms": 17.39,
  "sg": "No. 14",
  "total_energy_ev_per_cell": -60.4,
  "cell": [[6.553, 0.000, 0.000], [0.000, 13.151, 0.000], [-3.832, 0.000, 5.991]],
  "species": ["Ac", "Ac", "Ac", "Ac", "Pr", "Pr", "Pr", "Pr", "Er", "Er", "Er", "Er", "Er", "Er"],
  "fractional_positions": [[0.101, 0.118, 0.168], [0.101, 0.382, 0.668], [0.899, 0.618, 0.332], [0.899, 0.882, 0.832], [0.080, 0.612, 0.926], [0.080, 0.888, 0.426], [0.920, 0.112, 0.574], [0.920, 0.388, 0.074], [0.478, 0.716, 0.810], [0.478, 0.784, 0.310], [0.500, 0.000, 0.000], [0.500, 0.500, 0.500], [0.522, 0.216, 0.690], [0.522, 0.284, 0.190]]
}